The following is a DFT calculation (PBE) of a relaxed CaTi2HN crystal.

Calculated values
theoretical density: 2.95 g/cm³
VASP energy: -6.007 eV/atom

Cell lengths 4.017, 4.017, 5.269 Å; angles 90.00, 90.00, 90.00 degrees
Space group P4/mmm (No. 123)
Unique sites:
1 Ca 0.000 0.000 0.000 x1
2 Ti 0.000 0.500 0.500 x2
3 H 0.500 0.500 0.000 x1
4 N 0.000 0.000 0.500 x1